# 1
This record from Alexandria via LeMat-Bulk describes crystalline ZrSiP2 at its relaxed geometry. The functional is GGA-PBE. Values from VASP.

```
&SYSTEM
  ibrav = 0, nat = 16, ntyp = 3
/
ATOMIC_SPECIES
Zr 91.22 Zr.upf
Si 28.09 Si.upf
P 30.97 P.upf
CELL_PARAMETERS angstrom
6.4536 0.0000 0.0000
0.0000 6.4536 0.0000
0.0000 0.0000 6.4536
ATOMIC_POSITIONS crystal
Zr 0.0000 0.0000 0.0000
Zr 0.0000 0.5000 0.5000
Zr 0.5000 0.0000 0.5000
Zr 0.5000 0.5000 0.0000
Si 0.2500 0.2500 0.7500
Si 0.2500 0.7500 0.2500
Si 0.7500 0.2500 0.2500
Si 0.7500 0.7500 0.7500
P 0.0000 0.0000 0.5000
P 0.0000 0.5000 0.0000
P 0.2500 0.2500 0.2500
P 0.2500 0.7500 0.7500
P 0.5000 0.0000 0.0000
P 0.5000 0.5000 0.5000
P 0.7500 0.2500 0.7500
P 0.7500 0.7500 0.2500
```

Values from the calculation:
The symmetry is No. 216. As for the formation energy (no corrections): 0.22 eV per atom. Its density of states at the Fermi level is 0.968 states/eV per atom.

# 2
This record from Alexandria via LeMat-Bulk describes crystalline ZrSi3P at its relaxed geometry. The functional is GGA-PBE. Values from VASP.

```
&SYSTEM
  ibrav = 0, nat = 5, ntyp = 3
/
ATOMIC_SPECIES
Zr 91.22 Zr.upf
Si 28.09 Si.upf
P 30.97 P.upf
CELL_PARAMETERS angstrom
4.5153 0.0000 0.0000
0.0000 4.5153 0.0000
0.0000 0.0000 4.5153
ATOMIC_POSITIONS crystal
Zr 0.0000 0.0000 0.0000
Si 0.0000 0.5000 0.5000
Si 0.5000 0.0000 0.5000
Si 0.5000 0.5000 0.0000
P 0.5000 0.5000 0.5000
```

Values from the calculation:
The symmetry is No. 221. As for the formation energy (no corrections): 0.58 eV per atom. Its density of states at the Fermi level is 0.915 states/eV per atom. Its energy above the lowest structure with this stoichiometry is 0.00 eV per formula unit.

# 3
This record from Alexandria via LeMat-Bulk describes crystalline Zr2SiP at its relaxed geometry. The functional is GGA-PBE. Values from VASP.

```
&SYSTEM
  ibrav = 0, nat = 16, ntyp = 3
/
ATOMIC_SPECIES
Zr 91.22 Zr.upf
Si 28.09 Si.upf
P 30.97 P.upf
CELL_PARAMETERS angstrom
5.9636 0.0000 0.0000
0.0000 5.9636 0.0000
0.0000 0.0000 11.9792
ATOMIC_POSITIONS crystal
Zr 0.2411 0.2500 0.1250
Zr 0.2500 0.7411 0.3750
Zr 0.2500 0.7589 0.8750
Zr 0.2589 0.2500 0.6250
Zr 0.7411 0.7500 0.6250
Zr 0.7500 0.2411 0.8750
Zr 0.7500 0.2589 0.3750
Zr 0.7589 0.7500 0.1250
Si 0.0000 0.0000 0.5000
Si 0.0000 0.5000 0.7500
Si 0.5000 0.0000 0.2500
Si 0.5000 0.5000 0.0000
P 0.0000 0.0000 0.0000
P 0.0000 0.5000 0.2500
P 0.5000 0.0000 0.7500
P 0.5000 0.5000 0.5000
```

Values from the calculation:
The symmetry is No. 122. As for the formation energy (no corrections): -0.15 eV per atom. Its density of states at the Fermi level is 0.723 states/eV per atom. Its energy above the lowest structure with this stoichiometry is 3.50 eV per formula unit.

# 4
This record from Alexandria via LeMat-Bulk describes crystalline Zr2SiP at its relaxed geometry. The functional is GGA-PBE. Values from VASP.

```
&SYSTEM
  ibrav = 0, nat = 8, ntyp = 3
/
ATOMIC_SPECIES
Zr 91.22 Zr.upf
Si 28.09 Si.upf
P 30.97 P.upf
CELL_PARAMETERS angstrom
3.8851 0.0000 0.0000
0.0000 5.1000 0.0000
0.0000 0.0000 7.3618
ATOMIC_POSITIONS crystal
Zr 0.0000 0.0000 0.2410
Zr 0.0000 0.0000 0.7590
Zr 0.5000 0.5000 0.2590
Zr 0.5000 0.5000 0.7410
Si 0.0000 0.5000 0.0000
Si 0.5000 0.0000 0.5000
P 0.0000 0.5000 0.5000
P 0.5000 0.0000 0.0000
```

Values from the calculation:
The symmetry is No. 71. As for the formation energy (no corrections): -0.73 eV per atom. Its density of states at the Fermi level is 0.405 states/eV per atom. Its energy above the lowest structure with this stoichiometry is 1.20 eV per formula unit.

# 5
This record from Alexandria via LeMat-Bulk describes crystalline Zr2SiP at its relaxed geometry. The functional is GGA-PBE. Values from VASP.

```
&SYSTEM
  ibrav = 0, nat = 4, ntyp = 3
/
ATOMIC_SPECIES
Zr 91.22 Zr.upf
Si 28.09 Si.upf
P 30.97 P.upf
CELL_PARAMETERS angstrom
3.6574 0.0000 0.0000
0.0000 3.9128 0.0000
0.0000 0.0000 5.0910
ATOMIC_POSITIONS crystal
Zr 0.0000 0.0000 0.0000
Zr 0.0000 0.5000 0.5000
Si 0.5000 0.0000 0.5000
P 0.5000 0.5000 0.0000
```

Values from the calculation:
The symmetry is No. 47. As for the formation energy (no corrections): -0.72 eV per atom. Its density of states at the Fermi level is 0.431 states/eV per atom. Its energy above the lowest structure with this stoichiometry is 1.23 eV per formula unit.

# 6
This record from Alexandria via LeMat-Bulk describes crystalline ZrSiP at its relaxed geometry. The functional is GGA-PBE. Values from VASP.

```
&SYSTEM
  ibrav = 0, nat = 12, ntyp = 3
/
ATOMIC_SPECIES
Zr 91.22 Zr.upf
Si 28.09 Si.upf
P 30.97 P.upf
CELL_PARAMETERS angstrom
6.1230 0.0000 0.0000
0.0000 6.1230 0.0000
0.0000 0.0000 6.1230
ATOMIC_POSITIONS crystal
Zr 0.0000 0.0000 0.0000
Zr 0.0000 0.5000 0.5000
Zr 0.5000 0.0000 0.5000
Zr 0.5000 0.5000 0.0000
Si 0.0000 0.0000 0.5000
Si 0.0000 0.5000 0.0000
Si 0.5000 0.0000 0.0000
Si 0.5000 0.5000 0.5000
P 0.2500 0.2500 0.7500
P 0.2500 0.7500 0.2500
P 0.7500 0.2500 0.2500
P 0.7500 0.7500 0.7500
```

Values from the calculation:
The symmetry is No. 216. As for the formation energy (no corrections): -0.13 eV per atom. Its density of states at the Fermi level is 1.125 states/eV per atom.

# 7
This record from Alexandria via LeMat-Bulk describes crystalline Zr2SiP at its relaxed geometry. The functional is GGA-PBE. Values from VASP.

```
&SYSTEM
  ibrav = 0, nat = 16, ntyp = 3
/
ATOMIC_SPECIES
Zr 91.22 Zr.upf
Si 28.09 Si.upf
P 30.97 P.upf
CELL_PARAMETERS angstrom
6.5869 0.0000 0.0000
0.0000 6.5869 0.0000
0.0000 0.0000 6.5869
ATOMIC_POSITIONS crystal
Zr 0.0000 0.0000 0.0000
Zr 0.0000 0.5000 0.5000
Zr 0.2500 0.2500 0.2500
Zr 0.2500 0.7500 0.7500
Zr 0.5000 0.0000 0.5000
Zr 0.5000 0.5000 0.0000
Zr 0.7500 0.2500 0.7500
Zr 0.7500 0.7500 0.2500
Si 0.0000 0.0000 0.5000
Si 0.0000 0.5000 0.0000
Si 0.5000 0.0000 0.0000
Si 0.5000 0.5000 0.5000
P 0.2500 0.2500 0.7500
P 0.2500 0.7500 0.2500
P 0.7500 0.2500 0.2500
P 0.7500 0.7500 0.7500
```

Values from the calculation:
The symmetry is No. 216. As for the formation energy (no corrections): 0.00 eV per atom. Its density of states at the Fermi level is 0.783 states/eV per atom. Its energy above the lowest structure with this stoichiometry is 4.12 eV per formula unit.

# 8
This record from Alexandria via LeMat-Bulk describes crystalline ZrSiP2 at its relaxed geometry. The functional is GGA-PBE. Values from VASP.

```
&SYSTEM
  ibrav = 0, nat = 8, ntyp = 3
/
ATOMIC_SPECIES
Zr 91.22 Zr.upf
Si 28.09 Si.upf
P 30.97 P.upf
CELL_PARAMETERS angstrom
9.5684 0.0000 0.0000
0.0000 3.2791 0.0000
-0.4153 0.0000 4.5397
ATOMIC_POSITIONS crystal
Zr 0.0000 0.0000 0.0000
Zr 0.5000 0.5000 0.0000
Si 0.0000 0.5000 0.5000
Si 0.5000 0.0000 0.5000
P 0.2223 0.5000 0.8239
P 0.2777 0.0000 0.1761
P 0.7223 0.0000 0.8239
P 0.7777 0.5000 0.1761
```

Values from the calculation:
The symmetry is No. 12. As for the formation energy (no corrections): -0.24 eV per atom. Its density of states at the Fermi level is 0.303 states/eV per atom.

# 9
This record from Alexandria via LeMat-Bulk describes crystalline ZrSi2P at its relaxed geometry. The functional is GGA-PBE. Values from VASP.

```
&SYSTEM
  ibrav = 0, nat = 8, ntyp = 3
/
ATOMIC_SPECIES
Zr 91.22 Zr.upf
Si 28.09 Si.upf
P 30.97 P.upf
CELL_PARAMETERS angstrom
10.3182 0.0000 0.0000
0.0000 3.5448 0.0000
-0.0253 0.0000 3.7733
ATOMIC_POSITIONS crystal
Zr 0.0000 0.0000 0.0000
Zr 0.5000 0.5000 0.0000
Si 0.2316 0.5000 0.7638
Si 0.2684 0.0000 0.2362
Si 0.7316 0.0000 0.7638
Si 0.7684 0.5000 0.2362
P 0.0000 0.5000 0.5000
P 0.5000 0.0000 0.5000
```

Values from the calculation:
The symmetry is No. 12. As for the formation energy (no corrections): -0.29 eV per atom. Its density of states at the Fermi level is 0.343 states/eV per atom.

# 10
This record from Alexandria via LeMat-Bulk describes crystalline ZrSiP2 at its relaxed geometry. The functional is GGA-PBE. Values from VASP.

```
&SYSTEM
  ibrav = 0, nat = 4, ntyp = 3
/
ATOMIC_SPECIES
Zr 91.22 Zr.upf
Si 28.09 Si.upf
P 30.97 P.upf
CELL_PARAMETERS angstrom
3.4789 0.0000 0.0000
0.0000 3.3351 0.0000
-1.6945 0.0000 5.7159
ATOMIC_POSITIONS crystal
Zr 0.0000 0.0000 0.0000
Si 0.0000 0.0000 0.5000
P 0.3791 0.5000 0.7608
P 0.6209 0.5000 0.2392
```

Values from the calculation:
The symmetry is No. 10. As for the formation energy (no corrections): -0.45 eV per atom. Its density of states at the Fermi level is 0.312 states/eV per atom.

# 11
This record from Alexandria via LeMat-Bulk describes crystalline ZrSiP2 at its relaxed geometry. The functional is GGA-PBE. Values from VASP.

```
&SYSTEM
  ibrav = 0, nat = 8, ntyp = 3
/
ATOMIC_SPECIES
Zr 91.22 Zr.upf
Si 28.09 Si.upf
P 30.97 P.upf
CELL_PARAMETERS angstrom
3.7286 0.0000 0.0000
0.0000 3.7286 0.0000
0.0000 0.0000 9.4076
ATOMIC_POSITIONS crystal
Zr 0.0000 0.0000 0.0000
Zr 0.5000 0.5000 0.5000
Si 0.0000 0.5000 0.2500
Si 0.5000 0.0000 0.7500
P 0.0000 0.0000 0.5000
P 0.0000 0.5000 0.7500
P 0.5000 0.0000 0.2500
P 0.5000 0.5000 0.0000
```

Values from the calculation:
The symmetry is No. 119. As for the formation energy (no corrections): -0.28 eV per atom. Its density of states at the Fermi level is 0.550 states/eV per atom.

# 12
This record from Alexandria via LeMat-Bulk describes crystalline ZrSiP2 at its relaxed geometry. The functional is GGA-PBE. Values from VASP.

```
&SYSTEM
  ibrav = 0, nat = 4, ntyp = 3
/
ATOMIC_SPECIES
Zr 91.22 Zr.upf
Si 28.09 Si.upf
P 30.97 P.upf
CELL_PARAMETERS angstrom
3.7106 0.0000 0.0000
0.0000 3.6514 0.0000
-1.8447 0.0000 5.0165
ATOMIC_POSITIONS crystal
Zr 0.0000 0.0000 0.0000
Si 0.3431 0.5000 0.4117
P 0.4205 0.5000 0.8446
P 0.7373 0.0000 0.4189
```

Values from the calculation:
The symmetry is No. 6. As for the formation energy (no corrections): -0.75 eV per atom. Its density of states at the Fermi level is 0.050 states/eV per atom.

# 13
This record from Alexandria via LeMat-Bulk describes crystalline ZrSi2P at its relaxed geometry. The functional is GGA-PBE. Values from VASP.

```
&SYSTEM
  ibrav = 0, nat = 4, ntyp = 3
/
ATOMIC_SPECIES
Zr 91.22 Zr.upf
Si 28.09 Si.upf
P 30.97 P.upf
CELL_PARAMETERS angstrom
3.5519 0.0000 0.0000
0.0000 3.5154 0.0000
-0.5782 0.0000 5.2243
ATOMIC_POSITIONS crystal
Zr 0.0000 0.0000 0.0000
Si 0.4619 0.5000 0.7315
Si 0.5381 0.5000 0.2685
P 0.0000 0.0000 0.5000
```

Values from the calculation:
The symmetry is No. 10. As for the formation energy (no corrections): -0.26 eV per atom. Its density of states at the Fermi level is 0.386 states/eV per atom.

# 14
This record from Alexandria via LeMat-Bulk describes crystalline SmP5 at its relaxed geometry. The functional is GGA-PBE. Values from VASP.

```
&SYSTEM
  ibrav = 0, nat = 12, ntyp = 2
/
ATOMIC_SPECIES
Sm 150.36 Sm.upf
P 30.97 P.upf
CELL_PARAMETERS angstrom
5.0117 0.0000 0.0000
0.0000 9.5361 0.0000
-1.1386 0.0000 5.3065
ATOMIC_POSITIONS crystal
Sm 0.0071 0.2500 0.3476
Sm 0.9929 0.7500 0.6524
P 0.2839 0.2500 0.8972
P 0.2899 0.5294 0.4037
P 0.2899 0.9706 0.4037
P 0.3843 0.5913 0.0464
P 0.3843 0.9087 0.0464
P 0.6157 0.0913 0.9536
P 0.6157 0.4087 0.9536
P 0.7101 0.0294 0.5963
P 0.7101 0.4706 0.5963
P 0.7161 0.7500 0.1028
```

Values from the calculation:
The symmetry is No. 11. The value obtained for the energy relative to the elements is -51.9 kJ per mole of atoms. Its density of states at the Fermi level is 0.024 states/eV per atom.

# 15
This record from Alexandria via LeMat-Bulk describes crystalline SmP3 at its relaxed geometry. The functional is GGA-PBE. Values from VASP.

```
&SYSTEM
  ibrav = 0, nat = 8, ntyp = 2
/
ATOMIC_SPECIES
Sm 150.36 Sm.upf
P 30.97 P.upf
CELL_PARAMETERS angstrom
3.9614 0.0000 0.0000
0.0000 3.9614 0.0000
0.0000 0.0000 9.5294
ATOMIC_POSITIONS crystal
Sm 0.0000 0.0000 0.0000
Sm 0.5000 0.5000 0.5000
P 0.0000 0.0000 0.5000
P 0.0000 0.5000 0.2500
P 0.0000 0.5000 0.7500
P 0.5000 0.0000 0.2500
P 0.5000 0.0000 0.7500
P 0.5000 0.5000 0.0000
```

Values from the calculation:
The symmetry is No. 139. The value obtained for the energy relative to the elements is -29.5 kJ per mole of atoms. Its density of states at the Fermi level is 0.643 states/eV per atom.

Volume
In order: 268.8 92.1 426.0 145.9 72.9 229.6 285.8 142.4 138.0 66.3 130.8 68.0 65.2 253.6 149.5
Unit: Å³/cell